This record from the Alexandria database describes a relaxed ScNiW2 crystal. The functional is PBE-GGA.

Cell lengths 2.736, 2.736, 8.512 Å; angles 90.00, 90.00, 96.21 degrees
Sites, in units of the cell vectors:
Sc: 0.000 0.000 0.000
Ni: 0.000 0.000 0.500
W: 0.500 0.500 0.280
W: 0.500 0.500 0.720

Symmetry ... No. 65
Relative energy among the computed polymorphs ... 0.109 eV per atom
Energy relative to the elements ... 0.1723 eV per atom

***

This record from the Alexandria database describes a relaxed MgMo5 crystal. The functional is PBE-GGA.

Cell lengths 5.515, 5.515, 7.173 Å; angles 103.16, 103.16, 27.56 degrees
Sites, in units of the cell vectors:
Mg: 0.000 0.000 0.000
Mo: 0.265 0.265 0.032
Mo: 0.338 0.338 0.668
Mo: 0.596 0.596 0.697
Mo: 0.668 0.668 0.341
Mo: 0.933 0.933 0.358

Symmetry ... No. 8
Relative energy among the computed polymorphs ... 0.183 eV per atom
Energy relative to the elements ... 0.3922 eV per atom

***

This record from the Alexandria database describes a relaxed K2NpTeS4 crystal. The functional is PBE-GGA.

Cell lengths 6.873, 6.873, 6.873 Å; angles 110.22, 110.22, 107.98 degrees
Sites, in units of the cell vectors:
K: 0.000 0.000 0.000
K: 0.750 0.250 0.500
Np: 0.500 0.500 0.000
Te: 0.250 0.750 0.500
S: 0.141 0.100 0.630
S: 0.470 0.511 0.370
S: 0.489 0.859 0.959
S: 0.900 0.530 0.041

Symmetry ... No. 82
Energy relative to the elements, uncorrected ... -0.776 eV/atom

***

Record-wise volume values, in Å³ per atom: 15.83 16.36 31.23